[1]
Density functional theory data (PBE) for a relaxed RbLaMgV2 crystal.

Cell and atoms, written as CIF:
```
data_RbLaMgV2
_cell_length_a 5.130
_cell_length_b 5.130
_cell_length_c 6.265
_cell_angle_alpha 90.00
_cell_angle_beta 90.00
_cell_angle_gamma 90.00
_space_group_name_H-M_alt 'P 4/m m m'
_space_group_IT_number 123
_space_group_name_Hall '-P 4 2'
loop_
_atom_site_label
_atom_site_type_symbol
_atom_site_fract_x
_atom_site_fract_y
_atom_site_fract_z
_atom_site_occupancy
Rb1 Rb 0.000 0.000 0.000 1
La1 La 0.500 0.500 0.500 1
Mg1 Mg 0.500 0.500 0.000 1
V1 V 0.000 0.500 0.500 1
```

Values from the calculation:
- DFT formation energy: 1511.0 meV/atom

[2]
Density functional theory data (PBE) for a relaxed Re4AgHg crystal.

Cell and atoms, written as CIF:
```
data_Re4AgHg
_cell_length_a 7.460
_cell_length_b 7.460
_cell_length_c 7.460
_cell_angle_alpha 90.00
_cell_angle_beta 90.00
_cell_angle_gamma 90.00
_space_group_name_H-M_alt 'F -4 3 m'
_space_group_IT_number 216
_space_group_name_Hall 'F -4 2 3'
loop_
_atom_site_label
_atom_site_type_symbol
_atom_site_fract_x
_atom_site_fract_y
_atom_site_fract_z
_atom_site_occupancy
Re1 Re 0.125 0.125 0.125 1
Ag1 Ag 0.250 0.250 0.750 1
Hg1 Hg 0.000 0.000 0.500 1
```

Values from the calculation:
- DFT formation energy: 825.0 meV/atom

[3]
Density functional theory data (PBE) for a relaxed Li3Ag5 crystal.

Cell and atoms, written as CIF:
```
data_Li3Ag5
_cell_length_a 6.455
_cell_length_b 6.455
_cell_length_c 6.455
_cell_angle_alpha 90.00
_cell_angle_beta 90.00
_cell_angle_gamma 90.00
_space_group_name_H-M_alt 'I m -3 m'
_space_group_IT_number 229
_space_group_name_Hall '-I 4 2 3'
loop_
_atom_site_label
_atom_site_type_symbol
_atom_site_fract_x
_atom_site_fract_y
_atom_site_fract_z
_atom_site_occupancy
Li1 Li 0.000 0.000 0.500 1
Ag1 Ag 0.000 0.000 0.000 1
Ag2 Ag 0.250 0.250 0.250 1
```

Values from the calculation:
- DFT formation energy: -157.6 meV/atom

[4]
Density functional theory data (PBE) for a relaxed NbHgCl2 crystal.

Cell and atoms, written as CIF:
```
data_NbHgCl2
_cell_length_a 3.2331
_cell_length_b 3.2331
_cell_length_c 33.5649
_cell_angle_alpha 90.00
_cell_angle_beta 90.00
_cell_angle_gamma 120.00
_space_group_name_H-M_alt 'R -3 m'
_space_group_IT_number 166
_space_group_name_Hall '-R 3 2"'
loop_
_atom_site_label
_atom_site_type_symbol
_atom_site_fract_x
_atom_site_fract_y
_atom_site_fract_z
_atom_site_occupancy
Nb1 Nb 0.0000 0.0000 0.0000 1
Hg1 Hg 0.0000 0.0000 0.5000 1
Cl1 Cl 0.0000 0.0000 0.3857 1
```

Values from the calculation:
- Energy relative to the elements, uncorrected: -0.718 eV/atom

[5]
Density functional theory data (PBE) for a relaxed MgH4Pd5 crystal.

Cell and atoms, written as CIF:
```
data_MgH4Pd5
_cell_length_a 12.206
_cell_length_b 3.025
_cell_length_c 5.867
_cell_angle_alpha 90.00
_cell_angle_beta 104.69
_cell_angle_gamma 90.00
_space_group_name_H-M_alt 'C 1 2/m 1'
_space_group_IT_number 12
loop_
_space_group_symop_operation_xyz
'x,y,z'
'-x,-y,-z'
'-x,y,-z'
'x,-y,z'
'x+1/2,y+1/2,z'
'-x+1/2,-y+1/2,-z'
'-x+1/2,y+1/2,-z'
'x+1/2,-y+1/2,z'
loop_
_atom_site_label
_atom_site_type_symbol
_atom_site_fract_x
_atom_site_fract_y
_atom_site_fract_z
_atom_site_occupancy
Mg1 Mg 0.000 0.000 0.000 1
H1 H 0.008 0.500 0.703 1
H2 H 0.189 0.000 0.178 1
Pd1 Pd 0.000 0.000 0.500 1
Pd2 Pd 0.161 0.500 0.839 1
Pd3 Pd 0.163 0.500 0.331 1
```

Values from the calculation:
- E: -0.1586 hartree per atom

[6]
Density functional theory data (PBE) for a relaxed P2OsW crystal.

Cell and atoms, written as CIF:
```
data_P2OsW
_cell_length_a 6.161
_cell_length_b 6.161
_cell_length_c 6.161
_cell_angle_alpha 90.00
_cell_angle_beta 90.00
_cell_angle_gamma 90.00
_space_group_name_H-M_alt 'F -4 3 m'
_space_group_IT_number 216
_space_group_name_Hall 'F -4 2 3'
loop_
_atom_site_label
_atom_site_type_symbol
_atom_site_fract_x
_atom_site_fract_y
_atom_site_fract_z
_atom_site_occupancy
P1 P 0.000 0.000 0.000 1
P2 P 0.250 0.250 0.250 1
Os1 Os 0.000 0.000 0.500 1
W1 W 0.250 0.250 0.750 1
```

Values from the calculation:
- DFT formation energy: 678.6 meV/atom

[7]
Density functional theory data (PBE) for a relaxed CrPdSe2N crystal.

Cell and atoms, written as CIF:
```
data_CrPdSe2N
_cell_length_a 5.088
_cell_length_b 5.088
_cell_length_c 3.672
_cell_angle_alpha 90.00
_cell_angle_beta 90.00
_cell_angle_gamma 90.00
_space_group_name_H-M_alt 'P 4/m m m'
_space_group_IT_number 123
_space_group_name_Hall '-P 4 2'
loop_
_atom_site_label
_atom_site_type_symbol
_atom_site_fract_x
_atom_site_fract_y
_atom_site_fract_z
_atom_site_occupancy
Cr1 Cr 0.000 0.000 0.000 1
Pd1 Pd 0.500 0.500 0.500 1
Se1 Se 0.000 0.500 0.500 1
N1 N 0.500 0.500 0.000 1
```

Values from the calculation:
- Energy relative to the elements, uncorrected: 1.182 eV/atom

[8]
Density functional theory data (PBE) for a relaxed RbTaSe2N crystal.

Cell and atoms, written as CIF:
```
data_RbTaSe2N
_cell_length_a 5.285
_cell_length_b 5.285
_cell_length_c 4.056
_cell_angle_alpha 90.00
_cell_angle_beta 90.00
_cell_angle_gamma 90.00
_space_group_name_H-M_alt 'P 4/m m m'
_space_group_IT_number 123
_space_group_name_Hall '-P 4 2'
loop_
_atom_site_label
_atom_site_type_symbol
_atom_site_fract_x
_atom_site_fract_y
_atom_site_fract_z
_atom_site_occupancy
Rb1 Rb 0.000 0.000 0.000 1
Ta1 Ta 0.500 0.500 0.500 1
Se1 Se 0.000 0.500 0.500 1
N1 N 0.500 0.500 0.000 1
```

Values from the calculation:
- Energy relative to the elements, uncorrected: -0.488 eV/atom